VASP calculation (PBE) on crystalline Sc2AgRh2 at its relaxed geometry.

Properties
polymorph energy (0 for the lowest one) = 0.000 eV/atom
volume = 17.81 A^3/atom

Unit cell a=7.449 b=7.449 c=3.210 alpha=90.00 beta=90.00 gamma=90.00
Positions (direct):
Sc1 0.161 0.661 0.500
Sc2 0.661 0.839 0.500
Sc3 0.839 0.339 0.500
Sc4 0.339 0.161 0.500
Rh1 0.362 0.862 0.000
Rh2 0.862 0.638 0.000
Rh3 0.638 0.138 0.000
Rh4 0.138 0.362 0.000
Ag1 0.000 0.000 0.000
Ag2 0.500 0.500 0.000

=====

VASP calculation (PBE) on crystalline ScAgRh2 at its relaxed geometry.

Properties
volume = 16.31 A^3/atom
E = -25.3 eV per cell

Unit cell a=5.313 b=5.313 c=4.691 alpha=65.08 beta=65.08 gamma=33.27
Positions (direct):
Ag1 0.257 0.257 0.179
Rh1 0.009 0.009 0.069
Rh2 0.742 0.742 0.685
Sc1 0.492 0.492 0.568

=====

VASP calculation (PBE) on crystalline Sc4AgRh2 at its relaxed geometry.

Properties
volume = 19.66 A^3/atom
E = -47.2 eV per cell

Unit cell a=4.634 b=4.634 c=7.868 alpha=72.87 beta=72.87 gamma=60.00
Positions (direct):
Sc1 0.870 0.870 0.391
Sc2 0.130 0.130 0.609
Sc3 0.618 0.618 0.147
Sc4 0.382 0.382 0.853
Ag1 0.000 0.000 0.000
Rh1 0.747 0.747 0.758
Rh2 0.253 0.253 0.242

=====

VASP calculation (PBE) on crystalline ScAgRh4 at its relaxed geometry.

Properties
volume = 16.39 A^3/atom
E = -40.0 eV per cell

Unit cell a=5.181 b=5.181 c=5.181 alpha=60.00 beta=60.00 gamma=60.00
Positions (direct):
Sc1 0.750 0.750 0.750
Ag1 0.000 0.000 0.000
Rh1 0.875 0.375 0.375
Rh2 0.375 0.375 0.875
Rh3 0.375 0.875 0.375
Rh4 0.375 0.375 0.375